1.
## TiFe2CuH (PBE-GGA)

Data for a relaxed TiFe2CuH crystal.

Cell lengths 3.6733, 3.6733, 3.8200 Å; angles 90.00, 90.00, 90.00 degrees
Last column: magnetic moment on the atom in μB.
Fractional positions:
Cu (0.5000, 0.5000, 0.5000)  0.00
Fe (0.0000, 0.5000, 0.0000)  1.64
Fe (0.5000, 0.0000, 0.0000)  1.64
H (0.0000, 0.0000, 0.0000)  -0.01
Ti (0.0000, 0.0000, 0.5000)  -0.70

***

2.
## Ti2FeCuH (PBE-GGA)

Data for a relaxed Ti2FeCuH crystal.

Cell lengths 4.1098, 4.1098, 3.4028 Å; angles 90.00, 90.00, 90.00 degrees
Last column: magnetic moment on the atom in μB.
Fractional positions:
Ti (0.5000, 0.0000, 0.0000)  -0.20
Ti (0.0000, 0.5000, 0.0000)  -0.20
H (0.0000, 0.0000, 0.0000)  0.00
Fe (0.0000, 0.0000, 0.5000)  0.95
Cu (0.5000, 0.5000, 0.5000)  0.00

***

3.
## VFe2CuH (PBE-GGA)

Data for a relaxed VFe2CuH crystal.

Results
Excess energy over the best structure of this formula in the dataset: 0 meV/atom

Cell lengths 3.6547, 3.6547, 3.7000 Å; angles 90.00, 90.00, 90.00 degrees
Last column: magnetic moment on the atom in μB.
Fractional positions:
Fe (0.5000, 0.0000, 0.0000)  1.69
Fe (0.0000, 0.5000, 0.0000)  1.69
V (0.0000, 0.0000, 0.5000)  -1.27
Cu (0.5000, 0.5000, 0.5000)  0.01
H (0.0000, 0.0000, 0.0000)  0.00

***

Computed values of total energy (unit: eV for the cell shown) for the preceding records, in sequence: -32.784; -32.629; -33.318.